Record 1
Computed, not measured: a relaxed SrMnCl2 crystal at the GGA-PBEsol level of DFT.

abc: 4.729 4.729 3.910
angles: 90.00 90.00 90.00
Space group P4/mmm (No. 123)
Inequivalent atoms, fractional coordinates:
Sr (0.000, 0.000, 0.000) (multiplicity 1)
Mn (0.500, 0.500, 0.000) (multiplicity 1)
Cl (0.000, 0.500, 0.500) (multiplicity 2)

Computed properties:
**Theoretical density**: 4.05 g cm⁻³
**N(E_F)**: 0.725 states/eV per atom
**Formation energy without anion corrections**: -749 meV per atom


Record 2
Computed, not measured: a relaxed SrMn2Cl crystal at the GGA-PBEsol level of DFT.

abc: 3.439 3.826 13.544
angles: 90.00 90.00 90.00
Space group Amm2 (No. 38)
Inequivalent atoms, fractional coordinates:
Sr (0.000, 0.000, 0.000) (multiplicity 2)
Mn (0.000, 0.000, 0.227) (multiplicity 2)
Mn (0.500, 0.000, 0.674) (multiplicity 2)
Cl (0.500, 0.000, 0.400) (multiplicity 2)

Computed properties:
**Theoretical density**: 4.34 g cm⁻³
**N(E_F)**: 0.869 states/eV per atom
**Formation energy without anion corrections**: 109 meV per atom


Question: What is the formula in the first record?
Answer: SrMnCl2


Question: Look up the formation energy without anion corrections of the second one.
Answer: 109 meV per atom